Entry 1:
Entry from the Alexandria database: a relaxed structure of Rb3SiTc (PBE).

* density of states at the Fermi level: 2.987 states/eV/atom
* ΔE_f (raw): 1.41 eV/atom
* offset from the most stable computed form: 0.0000 eV per atom
* total DFT energy (no corrections): -2.33 eV per atom

abc: 6.7466 6.7466 6.7466
angles: 90.00 90.00 90.00
Closest atoms and distances in Å follow each position.
Space group Pm-3m (No. 221)
Asymmetric unit:
Rb  0.0000  0.0000  0.5000 x3  2 Si 3.37
Si  0.0000  0.0000  0.0000 x1  6 Rb 3.37
Tc  0.5000  0.5000  0.5000 x1  12 Rb 4.77

Entry 2:
Entry from the Alexandria database: a relaxed structure of RbSiTc3 (PBE).

* density of states at the Fermi level: 1.629 states/eV/atom
* ΔE_f (raw): 3.39 eV/atom
* offset from the most stable computed form: 2.0105 eV per atom
* total DFT energy (no corrections): -4.11 eV per atom

abc: 4.7289 4.7289 4.7289
angles: 90.00 90.00 90.00
Closest atoms and distances in Å follow each position.
Space group Pm-3m (No. 221)
Asymmetric unit:
Rb  0.0000  0.0000  0.0000 x1  6 Tc 2.36
Si  0.5000  0.5000  0.5000 x1  12 Tc 3.34
Tc  0.0000  0.0000  0.5000 x3  2 Rb 2.36

Entry 3:
Entry from the Alexandria database: a relaxed structure of Rb2SiTc (PBE).

* density of states at the Fermi level: 1.212 states/eV/atom
* ΔE_f (raw): 0.77 eV/atom
* total DFT energy (no corrections): -3.66 eV per atom

abc: 13.4979 13.4979 4.6073
angles: 90.00 90.00 90.00
Closest atoms and distances in Å follow each position.
Space group I-42d (No. 122)
Asymmetric unit:
Rb  0.0077  0.2500  0.1250 x8  2 Tc 3.42, 2 Si 3.79
Si  0.0000  0.0000  0.5000 x4  2 Tc 2.30
Tc  0.0000  0.0000  0.0000 x4  2 Si 2.30

no.,size of the total moment (μB/cell)
1,6.00
2,4.75
3,6.99